Entry from Alexandria via LeMat-Bulk: an optimized crystal structure of Er4Sb3Pb (PBE-GGA).

```
data_Er4Sb3Pb
_chemical_formula_sum 'Er4 Sb3 Pb1'
_cell_length_a 6.179
_cell_length_b 6.179
_cell_length_c 6.179
_cell_angle_alpha 90.00
_cell_angle_beta 90.00
_cell_angle_gamma 90.00
_symmetry_space_group_name_H-M 'P m -3 m'
_symmetry_Int_Tables_number 221
_symmetry_space_group_name_Hall '-P 4 2 3'
loop_
_atom_site_label
_atom_site_fract_x
_atom_site_fract_y
_atom_site_fract_z
Er1 0.000 0.000 0.000
Er2 0.000 0.500 0.500
Sb1 0.000 0.000 0.500
Pb1 0.500 0.500 0.500
```



Entry from Alexandria via LeMat-Bulk: an optimized crystal structure of NaZn3S (PBE-GGA).

```
data_NaZn3S
_chemical_formula_sum 'Na1 Zn3 S1'
_cell_length_a 4.935
_cell_length_b 4.935
_cell_length_c 4.935
_cell_angle_alpha 90.00
_cell_angle_beta 90.00
_cell_angle_gamma 90.00
_symmetry_space_group_name_H-M 'P m -3 m'
_symmetry_Int_Tables_number 221
_symmetry_space_group_name_Hall '-P 4 2 3'
loop_
_atom_site_label
_atom_site_fract_x
_atom_site_fract_y
_atom_site_fract_z
Na1 0.000 0.000 0.000
Zn1 0.000 0.500 0.500
S1 0.500 0.500 0.500
```



no.,DOS at the Fermi energy (states/eV/atom),E_form (uncorrected) (eV/f.u.),VASP energy (eV for the cell shown)
1,0.399,-7.07,-41.40
2,0.571,1.54,-7.72